Entry 1:
A relaxed Rb2PrDyO4 crystal, computed with PBE.

Results
mass density = 6.3 g/cm3
space group = P-3m1 (164)
VASP energy = -0.2382 Ha/atom
calculated volume = 143 Å³ per cell

Lattice parameters (Å, degrees): 3.565 3.565 12.959 90.00 90.00 120.00
Sites, in units of the cell vectors:
Dy  0.000  0.000  0.500
O  0.333  0.667  0.097
O  0.333  0.667  0.414
O  0.667  0.333  0.586
O  0.667  0.333  0.903
Pr  0.000  0.000  0.000
Rb  0.667  0.333  0.254
Rb  0.333  0.667  0.746



Entry 2:
A relaxed BeAlCuAg crystal, computed with PBE.

Results
polymorph energy (0 for the lowest one) = 0.000 eV/atom
mass density = 6.5 g/cm3
space group = F-43m (216)
VASP energy = -0.1281 Ha/atom
calculated volume = 53 Å³ per cell

Lattice parameters (Å, degrees): 4.220 4.220 4.220 60.00 60.00 60.00
Sites, in units of the cell vectors:
Ag  0.250  0.250  0.250
Al  0.000  0.000  0.000
Be  0.500  0.500  0.500
Cu  0.750  0.750  0.750



Entry 3:
A relaxed MgNbSiTc crystal, computed with PBE.

Results
polymorph energy (0 for the lowest one) = 0.309 eV/atom
mass density = 6.6 g/cm3
space group = F-43m (216)
VASP energy = -0.2482 Ha/atom
calculated volume = 61 Å³ per cell

Lattice parameters (Å, degrees): 4.429 4.429 4.429 60.00 60.00 60.00
Sites, in units of the cell vectors:
Mg  0.750  0.750  0.750
Nb  0.000  0.000  0.000
Si  0.250  0.250  0.250
Tc  0.500  0.500  0.500



Entry 4:
A relaxed TmAgIr crystal, computed with PBE.

Results
polymorph energy (0 for the lowest one) = 0.000 eV/atom
mass density = 11.5 g/cm3
calculated formation energy = -182 meV per atom
space group = F-43m (216)
VASP energy = -0.2046 Ha/atom
calculated volume = 67 Å³ per cell

Lattice parameters (Å, degrees): 4.569 4.569 4.569 60.00 60.00 60.00
Sites, in units of the cell vectors:
Ag  0.750  0.750  0.750
Ir  0.000  0.000  0.000
Tm  0.250  0.250  0.250



Entry 5:
A relaxed KGaCu crystal, computed with PBE.

Results
polymorph energy (0 for the lowest one) = 0.000 eV/atom
mass density = 3.6 g/cm3
space group = F-43m (216)
VASP energy = -0.0798 Ha/atom
calculated volume = 80 Å³ per cell

Lattice parameters (Å, degrees): 4.829 4.829 4.829 60.00 60.00 60.00
Sites, in units of the cell vectors:
Cu  0.000  0.000  0.000
Ga  0.250  0.250  0.250
K  0.750  0.750  0.750



Entry 6:
A relaxed PIrAuO crystal, computed with PBE.

Results
polymorph energy (0 for the lowest one) = 0.343 eV/atom
mass density = 12.1 g/cm3
space group = P4/nmm (129)
VASP energy = -0.2029 Ha/atom
calculated volume = 120 Å³ per cell

Lattice parameters (Å, degrees): 4.024 4.024 7.388 90.00 90.00 90.00
Sites, in units of the cell vectors:
Au  0.000  0.000  0.122
Au  0.500  0.500  0.878
Ir  0.500  0.000  0.500
Ir  0.000  0.500  0.500
O  0.500  0.000  0.000
O  0.000  0.500  0.000
P  0.500  0.500  0.328
P  0.000  0.000  0.672



Entry 7:
A relaxed HfCoSiNi crystal, computed with PBE.

Results
polymorph energy (0 for the lowest one) = 0.000 eV/atom
mass density = 10.2 g/cm3
space group = F-43m (216)
VASP energy = -0.2782 Ha/atom
calculated volume = 53 Å³ per cell

Lattice parameters (Å, degrees): 4.207 4.207 4.207 60.00 60.00 60.00
Sites, in units of the cell vectors:
Co  0.750  0.750  0.750
Hf  0.500  0.500  0.500
Ni  0.250  0.250  0.250
Si  0.000  0.000  0.000



Entry 8:
A relaxed LiMg2Hg crystal, computed with PBE.

Results
mass density = 5.5 g/cm3
space group = I4/mmm (139)
VASP energy = -0.0582 Ha/atom
calculated volume = 463 Å³ per cell

Lattice parameters (Å, degrees): 4.772 6.778 14.317 90.00 90.00 90.00
Sites, in units of the cell vectors:
Hg  0.000  0.500  0.000
Hg  0.500  0.000  0.167
Hg  0.000  0.500  0.333
Hg  0.500  0.000  0.500
Hg  0.000  0.500  0.667
Hg  0.500  0.000  0.833
Li  0.000  0.000  0.000
Li  0.500  0.500  0.167
Li  0.000  0.000  0.333
Li  0.500  0.500  0.500
Li  0.000  0.000  0.667
Li  0.500  0.500  0.833
Mg  0.500  0.250  0.000
Mg  0.500  0.750  0.000
Mg  0.000  0.250  0.167
Mg  0.000  0.750  0.167
Mg  0.500  0.250  0.333
Mg  0.500  0.750  0.333
Mg  0.000  0.250  0.500
Mg  0.000  0.750  0.500
Mg  0.500  0.250  0.667
Mg  0.500  0.750  0.667
Mg  0.000  0.250  0.833
Mg  0.000  0.750  0.833



Entry 9:
A relaxed TlCuMoS3 crystal, computed with PBE.

Results
polymorph energy (0 for the lowest one) = 0.000 eV/atom
mass density = 6.1 g/cm3
space group = P2_1/m (11)
VASP energy = -0.1935 Ha/atom
calculated volume = 252 Å³ per cell

Lattice parameters (Å, degrees): 7.816 3.655 9.635 90.00 113.51 90.00
Last column: magnetic moment on the atom in μB.
Sites, in units of the cell vectors:
Cu  0.077  0.250  0.108  0.04
Cu  0.923  0.750  0.892  0.04
Mo  0.304  0.750  0.336  1.64
Mo  0.696  0.250  0.664  1.64
S  0.240  0.750  0.068  0.00
S  0.099  0.250  0.351  -0.01
S  0.541  0.250  0.380  -0.02
S  0.459  0.750  0.620  -0.02
S  0.901  0.750  0.649  -0.01
S  0.760  0.250  0.932  0.00
Tl  0.723  0.750  0.213  0.01
Tl  0.277  0.250  0.787  0.01



Entry 10:
A relaxed GdThB4 crystal, computed with PBE.

Results
polymorph energy (0 for the lowest one) = 0.020 eV/atom
mass density = 9.2 g/cm3
space group = Immm (71)
VASP energy = -0.2543 Ha/atom
calculated volume = 78 Å³ per cell

Lattice parameters (Å, degrees): 5.258 5.258 5.258 143.13 113.72 78.33
Sites, in units of the cell vectors:
B  0.584  0.251  0.333
B  0.082  0.749  0.333
B  0.918  0.251  0.667
B  0.416  0.749  0.667
Gd  0.000  0.000  0.000
Th  0.500  0.500  0.000



Entry 11:
A relaxed Cu5Ag4 crystal, computed with PBE.

Results
polymorph energy (0 for the lowest one) = 0.020 eV/atom
mass density = 9.5 g/cm3
calculated formation energy = 60 meV per atom
space group = I4/mmm (139)
VASP energy = -0.1198 Ha/atom
calculated volume = 131 Å³ per cell

Lattice parameters (Å, degrees): 16.664 16.664 16.664 170.33 170.33 13.69
Sites, in units of the cell vectors:
Ag  0.057  0.057  0.000
Ag  0.377  0.377  0.000
Ag  0.623  0.623  0.000
Ag  0.943  0.943  0.000
Cu  0.180  0.180  0.000
Cu  0.273  0.273  0.000
Cu  0.500  0.500  0.000
Cu  0.727  0.727  0.000
Cu  0.820  0.820  0.000



Entry 12:
A relaxed Rb2InPtCl6 crystal, computed with PBE.

Results
mass density = 3.8 g/cm3
space group = P-31c (163)
VASP energy = -0.1179 Ha/atom
calculated volume = 605 Å³ per cell

Lattice parameters (Å, degrees): 7.122 7.122 13.778 90.00 90.00 120.00
Last column: magnetic moment on the atom in μB.
Sites, in units of the cell vectors:
Cl  0.729  0.050  0.144  0.04
Cl  0.320  0.271  0.144  0.03
Cl  0.950  0.680  0.144  0.03
Cl  0.320  0.050  0.356  0.02
Cl  0.950  0.271  0.356  0.03
Cl  0.729  0.680  0.356  0.04
Cl  0.271  0.320  0.644  0.04
Cl  0.050  0.729  0.644  0.03
Cl  0.680  0.950  0.644  0.02
Cl  0.050  0.320  0.856  0.03
Cl  0.680  0.729  0.856  0.03
Cl  0.271  0.950  0.856  0.04
In  0.000  0.000  0.250  -0.01
In  0.000  0.000  0.750  -0.01
Pt  0.667  0.333  0.250  0.74
Pt  0.333  0.667  0.750  0.74
Rb  0.333  0.667  0.032  0.00
Rb  0.333  0.667  0.468  0.00
Rb  0.667  0.333  0.532  0.00
Rb  0.667  0.333  0.968  0.00